[1]
Cr4InAu: relaxed, GGA-PBEsol.

Properties
DFT formation energy = 0.38 eV/atom
space-group type = F-43m (216)

```
Cr4InAu
1.0
-0.188 -4.413 -2.028
0.688 -3.961 2.732
-3.730 -2.962 0.967
Au Cr In
1 4 1
Direct
0.000 0.000 0.000
0.879 0.374 0.374
0.374 0.374 0.879
0.374 0.879 0.374
0.374 0.374 0.374
0.750 0.750 0.750
```



[2]
Ba3Fe2TeO5: relaxed, GGA-PBEsol.

Properties
space-group type = P4/mmm (123)
energy relative to the elements, uncorrected = -1.883 eV/atom

```
Ba3Fe2TeO5
1.0
3.982 0.000 0.000
0.000 3.982 0.000
0.000 0.000 12.140
Fe Ba O Te
2 3 5 1
Direct
0.500 0.500 0.842
0.500 0.500 0.158
0.000 0.000 0.000
0.000 0.000 0.322
0.000 0.000 0.678
0.000 0.500 0.822
0.000 0.500 0.178
0.500 0.000 0.178
0.500 0.000 0.822
0.500 0.500 0.000
0.500 0.500 0.500
```



[3]
ZrAg2Hg: relaxed, GGA-PBEsol.

Properties
DFT formation energy = -0.06 eV/atom
space-group type = P2/m (10)

```
ZrAg2Hg
1.0
-2.399 -0.524 -1.424
2.498 -2.194 -3.402
-0.553 -4.902 2.755
Zr Ag Hg
1 2 1
Direct
0.000 0.500 0.500
0.496 0.000 0.261
0.504 0.000 0.739
0.500 0.500 0.000
```



[4]
Sc2CuTc: relaxed, GGA-PBEsol.

Properties
DFT formation energy = -0.05 eV/atom
space-group type = I-4m2 (119)

```
Sc2CuTc
1.0
-2.565 1.503 2.483
-2.898 -1.137 -2.305
2.545 -4.000 2.028
Sc Tc Cu
2 1 1
Direct
0.750 0.250 0.500
0.000 0.000 0.000
0.500 0.500 0.000
0.250 0.750 0.500
```



no.,Fermi-level density of states (states/eV/f.u.)
1,5.9
2,7.1
3,2.2
4,1.9